Entry 1:
Material: LiNbRePb2
Method: DFT, PBE-GGA
State: optimized geometry

Calculated values
* crystal system: tetragonal
* formation energy: 1.041 eV per atom

abc: 5.557 5.557 4.835
angles: 90.00 90.00 90.00
Space group P4/mmm (No. 123)
Symmetry-distinct sites (fractional):
Li: 0.000 0.000 0.000 [1 per cell]
Nb: 0.500 0.500 0.500 [1 per cell]
Re: 0.500 0.500 0.000 [1 per cell]
Pb: 0.000 0.500 0.500 [2 per cell]

Entry 2:
Material: Cd2CoRe
Method: DFT, PBE-GGA
State: optimized geometry

Calculated values
* E above lowest polymorph: 1.63 eV/f.u.
* crystal system: orthorhombic
* formation energy: 0.633 eV per atom

abc: 5.572 8.707 2.734
angles: 90.00 90.00 90.00
Space group Cmmm (No. 65)
Symmetry-distinct sites (fractional):
Cd: 0.250 0.250 0.000 [4 per cell]
Co: 0.000 0.000 0.500 [2 per cell]
Re: 0.000 0.500 0.500 [2 per cell]

Entry 3:
Material: Y3RuI
Method: DFT, PBE-GGA
State: optimized geometry

Calculated values
* E above lowest polymorph: 0.00 eV/f.u.
* crystal system: orthorhombic
* uncorrected formation energy: -2.13 eV per formula unit

abc: 4.095 7.264 9.903
angles: 90.00 90.00 90.00
Space group Pmmn (No. 59, origin choice 2)
Symmetry-distinct sites (fractional):
Y: 0.250 0.004 0.143 [4 per cell]
Y: 0.250 0.750 0.625 [2 per cell]
Ru: 0.250 0.750 0.904 [2 per cell]
I: 0.250 0.250 0.636 [2 per cell]

Entry 4:
Material: CeHfAs2N
Method: DFT, PBE-GGA
State: optimized geometry

Calculated values
* crystal system: tetragonal
* uncorrected formation energy: -4.64 eV per formula unit

abc: 3.848 3.848 14.156
angles: 90.00 90.00 90.00
Space group P4/nmm (No. 129, origin choice 2)
Symmetry-distinct sites (fractional):
Ce: 0.250 0.250 0.083 [2 per cell]
Hf: 0.250 0.250 0.594 [2 per cell]
As: 0.250 0.250 0.397 [2 per cell]
As: 0.250 0.250 0.782 [2 per cell]
N: 0.250 0.750 0.000 [2 per cell]